[1]
First-principles (GGA-PBEsol) data for an optimized crystal structure of YCoMo3, as listed in the Alexandria database.

Calculated values
- Total moment: 0.000 μB/f.u.
- Density of states at the Fermi level: 6.97 states/eV/f.u.
- ΔH_f (0 K): 4.522 eV per formula unit

Cell lengths 4.5177, 4.5177, 4.5177 Å; angles 90.00, 90.00, 90.00 degrees
Space group Pm-3m (No. 221)
Asymmetric unit:
Y 0.0000 0.0000 0.0000 x1
Co 0.5000 0.5000 0.5000 x1
Mo 0.0000 0.5000 0.5000 x3

---

[2]
First-principles (GGA-PBEsol) data for an optimized crystal structure of ZnCoMo2, as listed in the Alexandria database.

Calculated values
- Total moment: 0.970 μB/f.u.
- Density of states at the Fermi level: 3.64 states/eV/f.u.
- ΔH_f (0 K): 0.931 eV per formula unit

Cell lengths 2.6892, 2.6892, 26.3958 Å; angles 90.00, 90.00, 120.00 degrees
Space group R3m (No. 160, hexagonal axes)
Asymmetric unit:
Zn 0.0000 0.0000 0.0000 x3
Co 0.0000 0.0000 0.7431 x3
Mo 0.0000 0.0000 0.2447 x3
Mo 0.0000 0.0000 0.4859 x3

---

[3]
First-principles (GGA-PBEsol) data for an optimized crystal structure of ZnCoMo, as listed in the Alexandria database.

Calculated values
- Total moment: 0.723 μB/f.u.
- Density of states at the Fermi level: 2.55 states/eV/f.u.
- ΔH_f (0 K): 0.464 eV per formula unit

Cell lengths 2.6633, 2.6633, 6.3954 Å; angles 90.00, 90.00, 120.00 degrees
Space group P3m1 (No. 156)
Asymmetric unit:
Zn 0.0000 0.0000 0.0000 x1
Co 0.3333 0.6667 0.6818 x1
Mo 0.6667 0.3333 0.3696 x1

---

[4]
First-principles (GGA-PBEsol) data for an optimized crystal structure of ZnCoMo2, as listed in the Alexandria database.

Calculated values
- Total moment: 0.720 μB/f.u.
- Density of states at the Fermi level: 3.76 states/eV/f.u.
- ΔH_f (0 K): 0.899 eV per formula unit

Cell lengths 2.6746, 2.6746, 26.5096 Å; angles 90.00, 90.00, 120.00 degrees
Space group R-3m (No. 166, hexagonal axes)
Asymmetric unit:
Zn 0.0000 0.0000 0.0000 x3
Co 0.0000 0.0000 0.5000 x3
Mo 0.0000 0.0000 0.2450 x6

---

[5]
First-principles (GGA-PBEsol) data for an optimized crystal structure of ZnCoMo, as listed in the Alexandria database.

Calculated values
- Total moment: 0.001 μB/f.u.
- Density of states at the Fermi level: 2.17 states/eV/f.u.
- ΔH_f (0 K): 0.029 eV per formula unit

Cell lengths 2.6921, 2.6921, 10.4974 Å; angles 90.00, 90.00, 90.00 degrees
Space group I4mm (No. 107)
Asymmetric unit:
Zn 0.0000 0.0000 0.0000 x2
Co 0.0000 0.0000 0.3470 x2
Mo 0.0000 0.0000 0.6900 x2

---

[6]
First-principles (GGA-PBEsol) data for an optimized crystal structure of ZnCoMo2, as listed in the Alexandria database.

Calculated values
- Total moment: 0.000 μB/f.u.
- Density of states at the Fermi level: 2.68 states/eV/f.u.
- ΔH_f (0 K): 0.360 eV per formula unit

Cell lengths 2.6230, 4.2284, 4.8359 Å; angles 90.00, 96.27, 90.00 degrees
Space group Pm (No. 6)
Asymmetric unit:
Zn 0.0000 0.0000 0.0000 x1
Co 0.9883 0.5000 0.2701 x1
Mo 0.4153 0.5000 0.7809 x1
Mo 0.6020 0.0000 0.4822 x1

---

[7]
First-principles (GGA-PBEsol) data for an optimized crystal structure of ZnCoMo2, as listed in the Alexandria database.

Calculated values
- Total moment: 0.000 μB/f.u.
- Density of states at the Fermi level: 1.54 states/eV/f.u.
- ΔH_f (0 K): 0.199 eV per formula unit

Cell lengths 2.6460, 2.6460, 7.6529 Å; angles 90.00, 90.00, 90.00 degrees
Space group P4mm (No. 99)
Asymmetric unit:
Zn 0.0000 0.0000 0.0000 x1
Co 0.5000 0.5000 0.7823 x1
Mo 0.0000 0.0000 0.5652 x1
Mo 0.5000 0.5000 0.2682 x1

---

[8]
First-principles (GGA-PBEsol) data for an optimized crystal structure of Zr2CoMo2, as listed in the Alexandria database.

Calculated values
- Total moment: 1.856 μB/f.u.
- Density of states at the Fermi level: 7.04 states/eV/f.u.
- ΔH_f (0 K): 5.891 eV per formula unit

Cell lengths 3.7265, 3.7265, 13.3971 Å; angles 90.00, 90.00, 90.00 degrees
Space group I4/mmm (No. 139)
Asymmetric unit:
Zr 0.0000 0.5000 0.2500 x4
Co 0.0000 0.0000 0.0000 x2
Mo 0.0000 0.0000 0.4203 x4

---

The lowest ΔH_f (0 K) belongs to which entry? number 5